Entry 1:
ZnTe, optimized geometry, DFT PBE; space-group type = P6_3mc, No. 186; DOS(E_F) = 0.0 states/eV/cell; calculated volume = 29.51 A^3/atom; uncorrected formation energy = -0.9 eV per formula unit
1.0
4.359 0.000 0.000
-2.179 3.775 0.000
0.000 0.000 7.175
Zn Te
2 2
Cartesian
0.000 2.516 0.000
2.179 1.258 3.588
0.000 2.516 2.681
2.179 1.258 6.269



Entry 2:
GeOsI2N, optimized geometry, DFT PBE; ΔE to the lowest computed polymorph = 0.00 eV/f.u.; space-group type = P4/mmm, No. 123; DOS(E_F) = 2.7 states/eV/cell; calculated volume = 23.35 A^3/atom; uncorrected formation energy = 2.9 eV per formula unit
1.0
5.579 0.000 0.000
0.000 5.579 0.000
0.000 0.000 3.750
Ge Os I N
1 1 2 1
Cartesian
0.000 0.000 0.000
2.790 2.790 1.875
0.000 2.790 1.875
2.790 0.000 1.875
2.790 2.790 0.000



Entry 3:
InTeIr2C, optimized geometry, DFT PBE; space-group type = P4/mmm, No. 123; DOS(E_F) = 5.2 states/eV/cell; calculated volume = 28.15 A^3/atom; uncorrected formation energy = 13.0 eV per formula unit
1.0
4.863 0.000 0.000
0.000 4.863 0.000
0.000 0.000 5.953
In Te Ir C
1 1 2 1
Cartesian
0.000 0.000 0.000
0.000 0.000 2.977
0.000 2.431 2.977
2.431 0.000 2.977
2.431 2.431 0.000



Entry 4:
Li3Ce3ErSe8, optimized geometry, DFT PBE; space-group type = R-3m, No. 166; DOS(E_F) = 13.9 states/eV/cell; calculated volume = 26.07 A^3/atom; uncorrected formation energy = -24.5 eV per formula unit
1.0
4.188 2.418 6.435
-4.188 2.418 6.435
0.000 -4.836 6.435
Li Ce Er Se
3 3 1 8
Cartesian
-2.094 -1.209 6.435
-2.094 1.209 12.870
0.000 2.418 6.435
-4.188 0.000 9.653
-2.094 1.209 3.218
2.094 1.209 3.218
0.000 0.000 9.653
0.000 0.000 4.887
0.000 -2.360 8.052
-2.044 1.180 8.052
-2.044 -1.180 11.253
2.044 1.180 8.052
2.044 -1.180 11.253
0.000 2.360 11.253
0.000 0.000 14.418



Entry 5:
Nd3InAs2Rh9, optimized geometry, DFT PBE; space-group type = P-3m1, No. 164; DOS(E_F) = 7.2 states/eV/cell; calculated formation energy = -0.259 eV/atom; calculated volume = 20.66 A^3/atom
1.0
7.065 0.000 0.000
-3.533 6.119 0.000
0.000 0.000 7.170
Nd In As Rh
3 1 2 9
Cartesian
0.000 0.000 0.000
0.000 4.079 4.890
3.533 2.040 2.280
0.000 0.000 3.585
0.000 4.079 1.060
3.533 2.040 6.109
-1.766 3.059 0.000
0.000 2.355 2.622
-1.493 4.941 2.622
2.040 1.178 4.548
3.533 0.000 0.000
1.766 3.059 0.000
1.493 4.941 2.622
5.025 1.178 4.548
3.533 3.763 4.548



Entry 6:
HfTa2Ge2, optimized geometry, DFT PBE; ΔE to the lowest computed polymorph = 2.98 eV/f.u.; space-group type = I4/mmm, No. 139; DOS(E_F) = 7.3 states/eV/cell; calculated formation energy = 0.176 eV/atom; calculated volume = 19.05 A^3/atom
1.0
3.622 0.000 0.000
0.000 3.622 0.000
0.000 0.000 14.519
Hf Ta Ge
2 4 4
Cartesian
0.000 0.000 0.000
1.811 1.811 7.260
0.000 0.000 5.739
0.000 0.000 8.780
1.811 1.811 1.520
1.811 1.811 12.999
0.000 1.811 3.630
0.000 1.811 10.890
1.811 0.000 3.630
1.811 0.000 10.890



Entry 7:
Rb2LaBeBr6, optimized geometry, DFT PBE; space-group type = I4/mmm, No. 139; DOS(E_F) = 0.1 states/eV/cell; calculated volume = 35.73 A^3/atom; uncorrected formation energy = -13.5 eV per formula unit
1.0
-3.985 3.985 5.627
3.985 -3.985 5.627
3.985 3.985 -5.627
Rb La Be Br
2 1 1 6
Cartesian
3.985 0.000 2.813
0.000 3.985 2.813
0.000 0.000 0.000
0.000 0.000 5.627
2.081 2.081 0.000
1.903 -1.903 5.627
0.000 0.000 2.945
0.000 0.000 8.309
-1.903 1.903 5.627
1.903 1.903 5.627



Entry 8:
AcNdCoAg, optimized geometry, DFT PBE; space-group type = F-43m, No. 216; DOS(E_F) = 17.8 states/eV/cell; calculated formation energy = 0.007 eV/atom; calculated volume = 25.79 A^3/atom
1.0
7.445 0.000 0.000
0.000 7.445 0.000
0.000 0.000 7.445
Ac Nd Co Ag
4 4 4 4
Cartesian
0.000 0.000 0.000
0.000 3.723 3.723
3.723 0.000 3.723
3.723 3.723 0.000
0.000 0.000 3.723
0.000 3.723 0.000
3.723 0.000 0.000
3.723 3.723 3.723
1.861 1.861 1.861
1.861 5.584 5.584
5.584 1.861 5.584
5.584 5.584 1.861
1.861 1.861 5.584
1.861 5.584 1.861
5.584 1.861 1.861
5.584 5.584 5.584



Entry 9:
K3RbCo2Cl8, optimized geometry, DFT PBE; space-group type = P-3m1, No. 164; calculated volume = 35.38 A^3/atom; uncorrected formation energy = -18.5 eV per formula unit
1.0
7.247 0.000 0.000
-3.624 6.276 0.000
0.000 0.000 10.888
K Rb Co Cl
3 1 2 8
Cartesian
0.000 0.000 0.000
0.000 4.184 7.932
3.624 2.092 2.957
0.000 0.000 5.444
0.000 4.184 2.190
3.624 2.092 8.698
0.000 2.077 2.979
-1.824 5.238 2.979
1.799 1.039 7.909
0.000 4.184 10.850
3.624 2.092 0.038
1.824 5.238 2.979
5.448 1.039 7.909
3.624 4.199 7.909



Entry 10:
Ce3HoEr2N6, optimized geometry, DFT PBE; space-group type = C2/m, No. 12; DOS(E_F) = 7.1 states/eV/cell; calculated volume = 15.19 A^3/atom; uncorrected formation energy = -19.4 eV per formula unit
1.0
3.030 -5.248 0.000
3.030 5.248 0.000
-2.021 0.000 5.730
Ce Ho Er N
3 1 2 6
Cartesian
0.000 0.000 0.000
3.030 1.749 0.000
3.030 -1.749 0.000
2.020 0.000 2.865
2.020 3.499 2.865
2.020 -3.499 2.865
1.006 1.756 1.463
-0.008 0.000 4.266
1.006 -1.756 1.463
3.034 1.756 4.267
4.047 0.000 1.464
3.034 -1.756 4.267



Entry 11:
V5Fe2H4, optimized geometry, DFT PBE; calculated total energy = -6.714 eV/atom; space-group type = C2/m, No. 12; DOS(E_F) = 8.3 states/eV/cell; calculated volume = 9.36 A^3/atom
1.0
8.133 -1.260 0.000
8.133 1.260 0.000
-1.406 0.000 5.022
V Fe H
5 2 4
Cartesian
0.000 0.000 0.000
4.168 0.000 3.490
4.961 0.000 0.854
9.898 0.000 4.168
10.692 0.000 1.531
6.398 0.000 2.858
8.461 0.000 2.164
1.502 0.000 2.688
7.052 0.000 1.046
7.807 0.000 3.975
13.358 0.000 2.333



Entry 12:
Na4In4Sn3, optimized geometry, DFT PBE; space-group type = P-1, No. 2; DOS(E_F) = 4.3 states/eV/cell; calculated formation energy = -0.114 eV/atom; calculated volume = 26.74 A^3/atom
1.0
3.313 0.000 0.000
0.000 4.877 0.000
1.605 2.427 18.204
Na In Sn
4 4 3
Cartesian
0.806 1.209 7.530
2.439 3.647 15.695
2.480 3.656 2.509
4.112 6.094 10.673
0.824 1.219 0.782
2.454 3.657 12.361
2.465 3.646 5.843
4.094 6.084 17.422
0.818 1.214 4.237
2.459 3.652 9.102
4.100 6.089 13.966